Below is a geometry-optimized CaLaAgIr structure, with properties calculated at the GGA-PBE level.

abc: 5.117 5.117 5.117
angles: 60.00 60.00 60.00
Positions (direct):
Ca 0.500 0.500 0.500
La 0.000 0.000 0.000
Ag 0.250 0.250 0.250
Ir 0.750 0.750 0.750

Density of states at the Fermi level: 0.705 states/eV per atom
Formation enthalpy at 0 K: -390 meV per atom



Below is a geometry-optimized Sm6InNi2Br3 structure, with properties calculated at the GGA-PBE level.

abc: 4.008 9.147 9.892
angles: 106.79 101.69 90.00
Positions (direct):
Sm 0.680 0.560 0.359
Br 0.836 0.162 0.672
In 0.500 0.000 0.000
Sm 0.333 0.861 0.666
Sm 0.320 0.440 0.641
Sm 0.980 0.734 0.960
Br 0.500 0.500 0.000
Sm 0.020 0.266 0.040
Ni 0.170 0.347 0.339
Sm 0.667 0.139 0.334
Br 0.164 0.838 0.328
Ni 0.830 0.653 0.661

Density of states at the Fermi level: 0.714 states/eV per atom
Final energy: -56.74 eV per cell